# GGA-PBE Ac8Os3I4O, optimized geometry
data_Ac8Os3I4O
_chemical_formula_sum 'Ac16 Os6 I8 O2'
_cell_length_a 14.921
_cell_length_b 8.583
_cell_length_c 9.958
_cell_angle_alpha 90.00
_cell_angle_beta 120.00
_cell_angle_gamma 90.00
_symmetry_space_group_name_H-M 'C 1 2/m 1'
_symmetry_Int_Tables_number 12
_symmetry_space_group_name_Hall '-C 2y'
loop_
_atom_site_label
_atom_site_fract_x
_atom_site_fract_y
_atom_site_fract_z
_atom_site_occupancy
Ac1 0.022 0.244 0.322 1
Ac2 0.225 0.000 0.680 1
Ac3 0.230 0.500 0.690 1
Os1 0.000 0.500 0.500 1
Os2 0.250 0.250 0.500 1
I1 0.000 0.000 0.000 1
I2 0.000 0.500 0.000 1
I3 0.250 0.250 0.000 1
O1 0.000 0.000 0.500 1
# Calculated total energy: -5.745 eV per atom